# 1
Here is a crystal of Tl4CoTe relaxed with PBEsol from Alexandria via LeMat-Bulk. Energies are from SCAN.

Computed properties:
Total magnetization in μB/f.u.: 2.4
Electronic total energy in eV/atom: -56.696
ΔE_f (raw) in eV/atom: 0.6353
SG: F-43m

Cell lengths 6.166, 6.166, 6.166 Å; angles 60.00, 60.00, 60.00 degrees
Last column: magnetic moment on the atom in μB.
Positions (direct):
Te 0.000 0.000 0.000  0.09
Tl 0.874 0.375 0.375  -0.02
Tl 0.375 0.874 0.375  -0.02
Tl 0.375 0.375 0.874  -0.02
Co 0.750 0.750 0.750  2.43
Tl 0.375 0.375 0.375  -0.02



# 2
Here is a crystal of Li4LaAu relaxed with PBEsol from Alexandria via LeMat-Bulk. Energies are from SCAN.

Computed properties:
Total magnetization in μB/f.u.: 0.0
Electronic total energy in eV/atom: -20.549
SG: F-43m
Formation enthalpy at 0 K in eV/atom: -0.246

Cell lengths 5.358, 5.358, 5.358 Å; angles 60.00, 60.00, 60.00 degrees
Positions (direct):
Li 0.378 0.865 0.378
Li 0.378 0.378 0.378
Li 0.865 0.378 0.378
Au 0.750 0.750 0.750
Li 0.378 0.378 0.865
La 0.000 0.000 0.000